[1]
DFT (PBE) results for a relaxed structure of CsTlRe2Te.

Properties
- uncorrected energy (eV/atom) = -3.2254
- symmetry = P4/mmm
- E_form (uncorrected) (meV per atom) = 3026
- Fermi-level density of states (states/eV per cell) = 3.007

Unit cell a=5.3956 b=5.3956 c=6.5769 alpha=90.00 beta=90.00 gamma=90.00
With the nearest neighbours (Å) after each atom.
Atoms (fractional coordinates):
Cs 0.0000 0.0000 0.0000  4 Re 2.70
Tl 0.5000 0.5000 0.5000  4 Te 3.82, 8 Re 4.25
Re 0.0000 0.5000 0.0000  2 Cs 2.70
Re 0.5000 0.0000 0.0000  2 Cs 2.70
Te 0.0000 0.0000 0.5000  2 Cs 3.29



[2]
DFT (PBE) results for a relaxed structure of Cs3TiRe.

Properties
- uncorrected energy (eV/atom) = -2.4399
- symmetry = Pm-3m
- ΔH_f (0 K) (meV/atom) = 2141
- Fermi-level density of states (states/eV per cell) = 17.276

Unit cell a=7.0327 b=7.0327 c=7.0327 alpha=90.00 beta=90.00 gamma=90.00
With the nearest neighbours (Å) after each atom.
Atoms (fractional coordinates):
Cs 0.0000 0.0000 0.5000  2 Ti 3.52
Cs 0.0000 0.5000 0.0000  2 Ti 3.52
Cs 0.5000 0.0000 0.0000  2 Ti 3.52
Ti 0.0000 0.0000 0.0000  6 Cs 3.52
Re 0.5000 0.5000 0.5000  12 Cs 4.97



[3]
DFT (PBE) results for a relaxed structure of Cs2TiRe.

Properties
- uncorrected energy (eV/atom) = -3.1207
- symmetry = Fm-3m
- ΔH_f (0 K) (meV/atom) = 2392
- Fermi-level density of states (states/eV per cell) = 11.119

Unit cell a=6.0621 b=6.0621 c=6.0621 alpha=60.00 beta=60.00 gamma=60.00
With the nearest neighbours (Å) after each atom.
Atoms (fractional coordinates):
Cs 0.2500 0.2500 0.2500  4 Re 3.71, 4 Ti 3.71
Cs 0.7500 0.7500 0.7500  4 Ti 3.71, 4 Re 3.71
Ti 0.0000 0.0000 0.0000  8 Cs 3.71
Re 0.5000 0.5000 0.5000  8 Cs 3.71



[4]
DFT (PBE) results for a relaxed structure of CsTiRe3.

Properties
- uncorrected energy (eV/atom) = -5.4000
- E above lowest polymorph (kJ/mol of formula units) = 715
- symmetry = Pm-3m
- ΔH_f (0 K) (meV/atom) = 3819
- Fermi-level density of states (states/eV per cell) = 9.017

Unit cell a=4.8380 b=4.8380 c=4.8380 alpha=90.00 beta=90.00 gamma=90.00
With the nearest neighbours (Å) after each atom.
Atoms (fractional coordinates):
Cs 0.0000 0.0000 0.0000  6 Re 2.42
Ti 0.5000 0.5000 0.5000  12 Re 3.42
Re 0.0000 0.0000 0.5000  2 Cs 2.42
Re 0.0000 0.5000 0.0000  2 Cs 2.42
Re 0.5000 0.0000 0.0000  2 Cs 2.42



[5]
DFT (PBE) results for a relaxed structure of CsTiRe3.

Properties
- uncorrected energy (eV/atom) = -6.8812
- E above lowest polymorph (kJ/mol of formula units) = 0
- symmetry = Pm-3m
- ΔH_f (0 K) (meV/atom) = 2337
- Fermi-level density of states (states/eV per cell) = 4.916

Unit cell a=4.8545 b=4.8545 c=4.8545 alpha=90.00 beta=90.00 gamma=90.00
With the nearest neighbours (Å) after each atom.
Atoms (fractional coordinates):
Cs 0.0000 0.0000 0.0000  12 Re 3.43
Ti 0.5000 0.5000 0.5000  6 Re 2.43
Re 0.0000 0.5000 0.5000  2 Ti 2.43
Re 0.5000 0.0000 0.5000  2 Ti 2.43
Re 0.5000 0.5000 0.0000  2 Ti 2.43



[6]
DFT (PBE) results for a relaxed structure of CsTi2Re.

Properties
- uncorrected energy (eV/atom) = -5.9237
- symmetry = Fm-3m
- ΔH_f (0 K) (meV/atom) = 1349
- Fermi-level density of states (states/eV per cell) = 8.349

Unit cell a=4.7944 b=4.7944 c=4.7944 alpha=60.00 beta=60.00 gamma=60.00
With the nearest neighbours (Å) after each atom.
Atoms (fractional coordinates):
Cs 0.0000 0.0000 0.0000  8 Ti 2.94
Ti 0.2500 0.2500 0.2500  4 Re 2.94, 4 Cs 2.94
Ti 0.7500 0.7500 0.7500  4 Re 2.94, 4 Cs 2.94
Re 0.5000 0.5000 0.5000  8 Ti 2.94



[7]
DFT (PBE) results for a relaxed structure of CsTiTlRe2.

Properties
- uncorrected energy (eV/atom) = -5.5841
- symmetry = P4/mmm
- ΔH_f (0 K) (meV/atom) = 1618
- Fermi-level density of states (states/eV per cell) = 5.098

Unit cell a=4.8590 b=4.8590 c=5.6873 alpha=90.00 beta=90.00 gamma=90.00
With the nearest neighbours (Å) after each atom.
Atoms (fractional coordinates):
Cs 0.0000 0.0000 0.0000  4 Tl 3.44, 8 Re 3.74
Ti 0.5000 0.5000 0.5000  4 Re 2.43
Tl 0.5000 0.5000 0.0000  2 Ti 2.84
Re 0.0000 0.5000 0.5000  2 Ti 2.43
Re 0.5000 0.0000 0.5000  2 Ti 2.43



[8]
DFT (PBE) results for a relaxed structure of CsTiZn2Re.

Properties
- uncorrected energy (eV/atom) = -2.1134
- symmetry = P4/mmm
- ΔH_f (0 K) (meV/atom) = 2635
- Fermi-level density of states (states/eV per cell) = 8.836

Unit cell a=5.4703 b=5.4703 c=5.2894 alpha=90.00 beta=90.00 gamma=90.00
With the nearest neighbours (Å) after each atom.
Atoms (fractional coordinates):
Cs 0.0000 0.0000 0.0000  2 Re 2.64, 4 Zn 2.74
Ti 0.5000 0.5000 0.5000  8 Zn 3.80, 4 Re 3.87
Zn 0.0000 0.5000 0.0000  2 Cs 2.74
Zn 0.5000 0.0000 0.0000  2 Cs 2.74
Re 0.0000 0.0000 0.5000  2 Cs 2.64